No. 1
# NbPdRuW2

A relaxed NbPdRuW2 crystal (GGA-PBE, Alexandria via LeMat-Bulk).

Values from the calculation:
Formation energy from the elements, meV per atom: 1646
Symmetry: P4/mmm, No. 123

abc: 4.6118 4.7850 4.6118
angles: 90.00 90.00 90.00
With the nearest neighbours (Å) after each atom.
Sites, in units of the cell vectors:
W  0.5000  0.0000  0.0000  2 Ru 2.31
W  0.0000  0.0000  0.5000  2 Ru 2.31
Nb  0.5000  0.5000  0.5000  4 Pd 3.26, 8 W 3.32
Pd  0.0000  0.5000  0.0000  2 Ru 2.39
Ru  0.0000  0.0000  0.0000  4 W 2.31, 2 Pd 2.39

***

No. 2
# InHgW2

A relaxed InHgW2 crystal (GGA-PBE, Alexandria via LeMat-Bulk).

Values from the calculation:
Formation energy from the elements, meV per atom: 741
Polymorph energy (0 for the lowest one), meV/atom: 247
Symmetry: C2/m, No. 12

abc: 5.1870 5.1870 4.7688
angles: 77.26 77.26 35.97
With the nearest neighbours (Å) after each atom.
Sites, in units of the cell vectors:
W  0.5001  0.5001  0.4993  6 W 2.87-3.20, 3 In 2.95-2.98, 3 Hg 2.95-2.98
W  0.9999  0.9999  0.0007  6 W 2.87-3.20, 3 In 2.95-2.98, 3 Hg 2.95-2.98
In  0.2500  0.2500  0.2500  4 Hg 2.87, 6 W 2.95-2.98, 2 In 3.20
Hg  0.7500  0.7500  0.7500  4 In 2.87, 6 W 2.95-2.98, 2 Hg 3.20

***

No. 3
# Rb2NaTaSe4

A relaxed Rb2NaTaSe4 crystal (GGA-PBE, Alexandria via LeMat-Bulk).

Values from the calculation:
Raw formation energy, eV per atom: -1.040
Symmetry: Fddd, No. 70

abc: 6.6525 7.8146 13.3263
angles: 83.90 75.55 64.81
With the nearest neighbours (Å) after each atom.
Sites, in units of the cell vectors:
Se  0.4073  0.7038  0.3918  1 Ta 2.43
Se  0.5029  0.2962  0.6082  1 Ta 2.43
Se  0.2009  0.2962  0.3918  1 Ta 2.43
Se  0.8611  0.7962  0.8918  1 Ta 2.43
Se  0.2471  0.2038  0.8918  1 Ta 2.43
Se  0.3427  0.7962  0.1082  1 Ta 2.43
Se  0.5491  0.2038  0.1082  1 Ta 2.43
Se  0.8889  0.7038  0.6082  1 Ta 2.43
Ta  0.2500  0.5000  0.5000  4 Se 2.43
Ta  0.5000  0.0000  0.0000  4 Se 2.43
Rb  0.1835  0.0000  0.6331  6 Se 3.70-4.13
Rb  0.9335  0.5000  0.1331  6 Se 3.70-4.13
Rb  0.5665  0.5000  0.8669  6 Se 3.70-4.13
Rb  0.8165  0.0000  0.3669  6 Se 3.70-4.13
Na  0.7500  0.5000  0.5000  4 Se 2.81
Na  0.0000  0.0000  0.0000  4 Se 2.81

***

No. 4
# ZnAsPb2

A relaxed ZnAsPb2 crystal (GGA-PBE, Alexandria via LeMat-Bulk).

Values from the calculation:
Formation energy from the elements, meV per atom: 46
Polymorph energy (0 for the lowest one), meV/atom: 14
Symmetry: R3m, No. 160

abc: 7.7672 7.7672 7.7672
angles: 30.16 30.16 30.16
With the nearest neighbours (Å) after each atom.
Sites, in units of the cell vectors:
As  0.7692  0.7692  0.7692  3 Zn 2.54
Pb  0.0154  0.0154  0.0154  3 As 3.03
Pb  0.2347  0.2347  0.2347  3 Zn 3.04
Zn  0.4807  0.4807  0.4807  3 As 2.54

***

No. 5
# LiU4Pt15

A relaxed LiU4Pt15 crystal (GGA-PBE, Alexandria via LeMat-Bulk).

Values from the calculation:
Formation energy from the elements, meV per atom: -680
Symmetry: P4/mmm, No. 123

abc: 4.1396 4.1396 20.2361
angles: 90.00 90.00 90.00
With the nearest neighbours (Å) after each atom.
Sites, in units of the cell vectors:
Pt  0.5000  0.0000  0.2929  8 Pt 2.89-2.95, 4 U 2.94-2.98
Pt  0.0000  0.5000  0.5000  8 Pt 2.93-2.94, 4 U 2.95
Pt  0.5000  0.5000  0.0000  8 Pt 2.78, 4 Li 2.93
Pt  0.5000  0.0000  0.7071  8 Pt 2.89-2.95, 4 U 2.94-2.98
Pt  0.5000  0.5000  0.3970  4 U 2.93, 8 Pt 2.94-2.95
Pt  0.5000  0.0000  0.5000  8 Pt 2.93-2.94, 4 U 2.95
Pt  0.5000  0.0000  0.9080  2 Li 2.78, 8 Pt 2.78-2.93, 2 U 2.83
Pt  0.5000  0.5000  0.6030  4 U 2.93, 8 Pt 2.94-2.95
Pt  0.0000  0.5000  0.2929  8 Pt 2.89-2.95, 4 U 2.94-2.98
Pt  0.0000  0.5000  0.7071  8 Pt 2.89-2.95, 4 U 2.94-2.98
Pt  0.5000  0.5000  0.1934  8 Pt 2.89-2.91, 4 U 2.93
Pt  0.5000  0.0000  0.0920  2 Li 2.78, 8 Pt 2.78-2.93, 2 U 2.83
Pt  0.0000  0.5000  0.0920  2 Li 2.78, 8 Pt 2.78-2.93, 2 U 2.83
Pt  0.5000  0.5000  0.8066  8 Pt 2.89-2.91, 4 U 2.93
Pt  0.0000  0.5000  0.9080  2 Li 2.78, 8 Pt 2.78-2.93, 2 U 2.83
Li  0.0000  0.0000  0.0000  12 Pt 2.78-2.93
U  0.0000  0.0000  0.6039  12 Pt 2.93-2.95
U  0.0000  0.0000  0.8129  12 Pt 2.83-2.98
U  0.0000  0.0000  0.1871  12 Pt 2.83-2.98
U  0.0000  0.0000  0.3961  12 Pt 2.93-2.95

***

No. 6
# TiNbN

A relaxed TiNbN crystal (GGA-PBE, Alexandria via LeMat-Bulk).

Values from the calculation:
Raw formation energy, eV per atom: -1.094
Symmetry: Pmmn, No. 59

abc: 3.0204 4.1936 7.4780
angles: 124.11 90.00 90.00
With the nearest neighbours (Å) after each atom.
Sites, in units of the cell vectors:
Nb  0.2500  0.8740  0.6238  2 N 2.19
Nb  0.7500  0.1260  0.3762  2 N 2.19
N  0.2500  0.8698  0.1196  4 Ti 2.07-2.10, 2 Nb 2.19
N  0.7500  0.1302  0.8804  4 Ti 2.07-2.10, 2 Nb 2.19
Ti  0.7500  0.6416  0.8918  4 N 2.07-2.10
Ti  0.2500  0.3584  0.1082  4 N 2.07-2.10

***

No. 7
# SmAgRh

A relaxed SmAgRh crystal (GGA-PBE, Alexandria via LeMat-Bulk).

Values from the calculation:
Formation energy from the elements, meV per atom: -329
Polymorph energy (0 for the lowest one), meV/atom: 129
Symmetry: I4mm, No. 107

abc: 3.6096 3.6096 5.3898
angles: 109.56 109.56 90.00
With the nearest neighbours (Å) after each atom.
Sites, in units of the cell vectors:
Rh  0.2844  0.2844  0.5689  5 Sm 2.94-3.28, 5 Ag 2.96-3.25
Ag  0.6265  0.6265  0.2529  5 Rh 2.96-3.25, 5 Sm 2.97-3.11
Sm  0.9391  0.9391  0.8782  5 Rh 2.94-3.28, 5 Ag 2.97-3.11

***

No. 8
# SbTe2AsOs

A relaxed SbTe2AsOs crystal (GGA-PBE, Alexandria via LeMat-Bulk).

Values from the calculation:
Raw formation energy, eV per atom: 0.828
Polymorph energy (0 for the lowest one), meV/atom: 0
Symmetry: P4/mmm, No. 123

abc: 5.2264 5.2264 5.0988
angles: 90.00 90.00 90.00
With the nearest neighbours (Å) after each atom.
Sites, in units of the cell vectors:
As  0.5000  0.5000  0.5000  8 Te 3.65, 4 Sb 3.70
Te  0.5000  0.0000  0.0000  2 Os 2.61
Te  0.0000  0.5000  0.0000  2 Os 2.61
Sb  0.0000  0.0000  0.5000  2 Os 2.55
Os  0.0000  0.0000  0.0000  2 Sb 2.55, 4 Te 2.61